The following is a DFT calculation (PBE-GGA) of Ta2CrBi after structural relaxation.

Lattice parameters (Å, degrees): 3.993 3.993 10.697 79.24 79.24 90.00
Site moments in Bohr magnetons follow the coordinates.
Fractional positions:
Bi (0.750, 0.250, 0.500)  -0.09
Bi (0.000, 0.000, 0.000)  -0.09
Ta (0.132, 0.625, 0.250)  -0.11
Ta (0.375, 0.382, 0.750)  -0.12
Ta (0.875, 0.868, 0.750)  -0.11
Ta (0.618, 0.125, 0.250)  -0.12
Cr (0.250, 0.750, 0.500)  2.98
Cr (0.500, 0.500, 0.000)  2.97

Summary:
- mass density (g cm⁻³) = 12.575
- final energy (eV per cell) = -67.7
- energy of formation from the pure elements (kJ/mol of atoms) = 80.55

=====

The following is a DFT calculation (PBE-GGA) of NdMgTeO6 after structural relaxation.

Lattice parameters (Å, degrees): 5.338 5.338 10.066 90.00 90.00 120.00
Site moments in Bohr magnetons follow the coordinates.
Fractional positions:
O (0.627, 0.977, 0.358)  0.15
O (0.650, 0.023, 0.858)  0.15
O (0.373, 0.023, 0.642)  0.15
O (0.977, 0.627, 0.858)  0.15
O (0.023, 0.373, 0.142)  0.15
O (0.627, 0.650, 0.142)  0.15
O (0.023, 0.650, 0.358)  0.15
O (0.373, 0.350, 0.858)  0.15
O (0.977, 0.350, 0.642)  0.15
O (0.350, 0.373, 0.358)  0.15
O (0.350, 0.977, 0.142)  0.15
O (0.650, 0.627, 0.642)  0.15
Nd (0.000, 0.000, 0.500)  0.00
Nd (0.000, 0.000, 0.000)  0.00
Mg (0.333, 0.667, 0.750)  0.00
Mg (0.667, 0.333, 0.250)  0.00
Te (0.333, 0.667, 0.250)  -0.02
Te (0.667, 0.333, 0.750)  -0.02

Summary:
- mass density (g cm⁻³) = 5.243
- final energy (eV per cell) = -114.1

=====

Results for V: 20.56 13.80 (in A^3/atom, following the order of the records).